Computed, not measured: crystalline NdErTlPd at its relaxed geometry at the GGA-PBE level of DFT.

Unit cell a=7.4148 b=7.4148 c=7.4148 alpha=90.00 beta=90.00 gamma=90.00
Space group F-43m (No. 216)
Symmetry-distinct sites (fractional):
Nd 0.0000 0.0000 0.0000 [4 per cell]
Er 0.0000 0.0000 0.5000 [4 per cell]
Tl 0.2500 0.2500 0.2500 [4 per cell]
Pd 0.2500 0.2500 0.7500 [4 per cell]

Energy of formation from the pure elements (eV/atom): -0.5070
Size of the total moment (μB/cell): 0.000

---

Computed, not measured: crystalline Nd2ErZn2Pd5 at its relaxed geometry at the GGA-PBE level of DFT.

Unit cell a=10.0322 b=10.0322 c=3.8932 alpha=90.00 beta=90.00 gamma=90.00
Space group P4/mbm (No. 127)
Symmetry-distinct sites (fractional):
Nd 0.1768 0.3232 0.0000 [4 per cell]
Er 0.0000 0.0000 0.0000 [2 per cell]
Zn 0.1184 0.6184 0.0000 [4 per cell]
Pd 0.0000 0.5000 0.5000 [2 per cell]
Pd 0.0671 0.7877 0.5000 [8 per cell]

Energy of formation from the pure elements (eV/atom): -0.7420
Size of the total moment (μB/cell): 0.000

---

Computed, not measured: crystalline NdErZnPd at its relaxed geometry at the GGA-PBE level of DFT.

Unit cell a=7.1704 b=7.1704 c=7.1704 alpha=90.00 beta=90.00 gamma=90.00
Space group F-43m (No. 216)
Symmetry-distinct sites (fractional):
Nd 0.0000 0.0000 0.0000 [4 per cell]
Er 0.0000 0.0000 0.5000 [4 per cell]
Zn 0.2500 0.2500 0.7500 [4 per cell]
Pd 0.2500 0.2500 0.2500 [4 per cell]

Energy of formation from the pure elements (eV/atom): -0.5516
Size of the total moment (μB/cell): 0.000
Excess energy over the best structure of this formula in the dataset (meV/atom): 36.8

---

Computed, not measured: crystalline NdErZnPd at its relaxed geometry at the GGA-PBE level of DFT.

Unit cell a=3.5964 b=3.5964 c=7.0964 alpha=90.00 beta=90.00 gamma=90.00
Space group P4mm (No. 99)
Symmetry-distinct sites (fractional):
Nd 0.0000 0.0000 0.0000 [1 per cell]
Er 0.0000 0.0000 0.4902 [1 per cell]
Zn 0.5000 0.5000 0.7269 [1 per cell]
Pd 0.5000 0.5000 0.2757 [1 per cell]

Energy of formation from the pure elements (eV/atom): -0.5884
Size of the total moment (μB/cell): 0.000
Excess energy over the best structure of this formula in the dataset (meV/atom): 0.0

---

> Look up the size of the total moment of the fourth one.

0.000 μB/cell

---

> Which formula does entry 4 have?

NdErZnPd

---

Repeat the second record exactly.
Computed, not measured: crystalline Nd2ErZn2Pd5 at its relaxed geometry at the GGA-PBE level of DFT.

Unit cell a=10.0322 b=10.0322 c=3.8932 alpha=90.00 beta=90.00 gamma=90.00
Space group P4/mbm (No. 127)
Symmetry-distinct sites (fractional):
Nd 0.1768 0.3232 0.0000 [4 per cell]
Er 0.0000 0.0000 0.0000 [2 per cell]
Zn 0.1184 0.6184 0.0000 [4 per cell]
Pd 0.0000 0.5000 0.5000 [2 per cell]
Pd 0.0671 0.7877 0.5000 [8 per cell]

Energy of formation from the pure elements (eV/atom): -0.7420
Size of the total moment (μB/cell): 0.000